## Pd3PbS (PBE-GGA)

Data for a relaxed Pd3PbS crystal.

Raw formation energy: -0.2322 eV/atom
Relative energy among the computed polymorphs: 0 meV/atom
Spin magnetization: 0.00 μB per atom

Cell: 4.6099 4.6099 4.6099 Å, 90.00 90.00 90.00°
With the nearest neighbours (Å) after each atom.
Space group Pm-3m (No. 221)
Asymmetric unit:
Pd 0.0000 0.0000 0.5000  2 S 2.30
Pb 0.5000 0.5000 0.5000  12 Pd 3.26
S 0.0000 0.0000 0.0000  6 Pd 2.30


## PmThAg2 (PBE-GGA)

Data for a relaxed PmThAg2 crystal.

Relative energy among the computed polymorphs: 0 meV/atom
Energy relative to the elements: -55.2 kJ/mol of formula units
Spin magnetization: 0.00 μB per atom

Cell: 3.6553 3.6553 7.7803 Å, 90.00 90.00 90.00°
With the nearest neighbours (Å) after each atom.
Space group P4/mmm (No. 123)
Asymmetric unit:
Pm 0.0000 0.0000 0.0000  8 Ag 3.20
Th 0.0000 0.0000 0.5000  8 Ag 3.27, 4 Th 3.66
Ag 0.5000 0.5000 0.2420  4 Pm 3.20, 4 Th 3.27


## Cr2Ni2Hg (PBE-GGA)

Data for a relaxed Cr2Ni2Hg crystal.

Relative energy among the computed polymorphs: 27 meV/atom
Energy relative to the elements: 183.1 kJ/mol of formula units
Spin magnetization: 0.00 μB per atom

Cell: 7.1254 7.1254 2.6784 Å, 90.00 90.00 90.00°
With the nearest neighbours (Å) after each atom.
Space group P4/mbm (No. 127)
Asymmetric unit:
Cr 0.0970 0.4030 0.0000  1 Cr 1.96
Ni 0.1898 0.6898 0.5000  6 Cr 2.53, 2 Ni 2.68
Hg 0.0000 0.0000 0.0000  2 Hg 2.68, 8 Ni 2.92, 4 Cr 2.95